The following is a PBE-GGA calculation of an optimized crystal structure of B2AsN, from the Alexandria database.

Properties
Total moment, μB per formula unit: 0.00
Crystal system: cubic
Formation energy from raw total energies, eV/atom: 2.260

abc: 3.7993 3.7993 3.7993
angles: 60.00 60.00 60.00
Positions (direct):
B 0.2500 0.2500 0.2500
B 0.7500 0.7500 0.7500
As 0.0000 0.0000 0.0000
N 0.5000 0.5000 0.5000

The following is a PBE-GGA calculation of an optimized crystal structure of B3AsN, from the Alexandria database.

Properties
Total moment, μB per formula unit: 0.00
Crystal system: cubic
Formation energy from raw total energies, eV/atom: 1.797

abc: 3.5832 3.5832 3.5832
angles: 90.00 90.00 90.00
Positions (direct):
B 0.0000 0.0000 0.5000
B 0.0000 0.5000 0.0000
B 0.5000 0.0000 0.0000
As 0.5000 0.5000 0.5000
N 0.0000 0.0000 0.0000

The following is a PBE-GGA calculation of an optimized crystal structure of B2AsN, from the Alexandria database.

Properties
Total moment, μB per formula unit: 0.00
Crystal system: tetragonal
Formation energy from raw total energies, eV/atom: -0.094

abc: 5.1393 5.1393 5.1393
angles: 130.95 130.95 71.89
Positions (direct):
B 0.0468 0.6250 0.9218
B 0.3750 0.2968 0.4218
B 0.7032 0.1250 0.0782
B 0.8750 0.9532 0.5782
As 0.2500 0.7500 0.5000
As 0.5000 0.5000 0.0000
N 0.0000 0.0000 0.0000
N 0.7500 0.2500 0.5000

The following is a PBE-GGA calculation of an optimized crystal structure of BAsN2, from the Alexandria database.

Properties
Total moment, μB per formula unit: 0.00
Crystal system: tetragonal
Formation energy from raw total energies, eV/atom: 0.247

abc: 4.8444 4.8444 4.8444
angles: 123.53 123.53 83.98
Positions (direct):
B 0.0000 0.0000 0.0000
B 0.7500 0.2500 0.5000
As 0.2500 0.7500 0.5000
As 0.5000 0.5000 0.0000
N 0.0105 0.6250 0.8855
N 0.3750 0.2605 0.3855
N 0.7395 0.1250 0.1145
N 0.8750 0.9895 0.6145

| no. | mass density (g cm⁻³) | E above lowest polymorph (meV per atom) | density of states at the Fermi level (states/eV/f.u.) |
| --- | --- | --- | --- |
| 1 | 4.7 | 2354 | 1.82 |
| 2 | 4.4 | 0 | 2.48 |
| 3 | 4.8 | 0 | 0.00 |
| 4 | 5.0 | 49 | 0.94 |